This record from Alexandria via LeMat-Bulk describes Zr2TePt after structural relaxation. The functional is PBE.

Summary:
Size of the total moment = 0.00 μB per cell
Symmetry = I-42d
Raw total energy = -7.099 eV per atom

POSCAR file:
```
Zr2TePt
1.0
-1.6107 -3.3638 -6.6497
5.6268 -5.0096 1.1712
0.0208 -6.0821 -1.2991
Te Zr Pt
2 4 2
Cartesian
2.0081 -4.1867 -2.7393
3.8279 -7.6392 -1.4336
-0.3341 -4.3243 -4.4831
3.3567 -4.9968 -0.2753
1.3959 -7.5896 -3.0550
3.6555 -12.0003 -5.7419
0.0000 0.0000 0.0000
0.2091 -6.8163 -5.3441
```

This record from Alexandria via LeMat-Bulk describes Zr2TePt after structural relaxation. The functional is PBE.

Summary:
Size of the total moment = 0.00 μB per cell
Symmetry = P2/m
Raw total energy = -7.250 eV per atom

POSCAR file:
```
Zr2TePt
1.0
-2.6097 2.1001 -1.3016
0.6724 -1.2138 -3.3067
-3.8001 -5.8004 -1.7392
Pt Te Zr
1 1 2
Cartesian
-2.0868 -0.7035 -1.9123
-3.6506 -4.2107 -4.4353
0.5951 -1.3292 -3.3376
-1.4865 -3.3918 -2.4920
```

This record from Alexandria via LeMat-Bulk describes Zr2TePt after structural relaxation. The functional is PBE.

Summary:
Size of the total moment = 0.00 μB per cell
Symmetry = Imm2
Raw total energy = -7.193 eV per atom

POSCAR file:
```
Zr2TePt
1.0
-1.5652 -0.8114 -5.4410
-4.1689 -3.7766 -1.0347
1.2582 4.7551 2.9188
Pt Te Zr
1 1 2
Cartesian
-2.8490 -2.2796 -3.2175
-2.9985 -0.7455 -0.8007
-0.0127 -0.0101 -0.0143
-1.4827 0.9083 -2.7622
```

This record from Alexandria via LeMat-Bulk describes Zr2TePt after structural relaxation. The functional is PBE.

Summary:
Size of the total moment = 0.00 μB per cell
Symmetry = C2/m
Raw total energy = -7.239 eV per atom

POSCAR file:
```
Zr2TePt
1.0
7.1445 0.0619 0.1522
-2.7329 4.0984 -0.1071
1.6786 1.1505 2.8288
Pt Te Zr
1 1 2
Cartesian
-0.5272 2.6245 1.3608
2.2058 2.0802 0.0225
0.0000 0.0000 0.0000
4.4116 0.6062 1.4905
```

This record from Alexandria via LeMat-Bulk describes Th3Pt5 after structural relaxation. The functional is PBE.

Summary:
Excess energy over the best structure of this formula in the dataset = 0.0 kJ/mol of atoms
Size of the total moment = 0.00 μB per cell
Symmetry = P-62m
Formation energy from the elements = -1.251 eV/atom

POSCAR file:
```
Th3Pt5
1.0
-6.8414 2.3379 -0.5206
3.1080 -3.3896 -5.6029
-1.2774 -3.4335 1.3685
Th Pt
3 5
Cartesian
-5.0274 -0.2170 0.3503
1.3550 -3.8911 -2.9099
-1.9772 -2.0938 -1.5111
-1.5651 0.5348 -0.1191
0.7110 -0.7754 -1.2818
-2.8794 -0.8111 -4.7226
-0.2085 -1.4804 -3.9088
-3.5250 0.4287 -2.2147
```

This record from Alexandria via LeMat-Bulk describes ThPt3 after structural relaxation. The functional is PBE.

Summary:
Size of the total moment = 0.00 μB per cell
Symmetry = P6_3/mmc
Formation energy from the elements = -1.102 eV/atom

POSCAR file:
```
ThPt3
1.0
5.9350 0.0000 0.0000
-2.9675 5.1399 0.0000
0.0000 0.0000 5.0051
Th Pt
2 6
Cartesian
0.0000 3.4266 3.7538
2.9675 1.7133 1.2513
0.0000 1.6473 1.2513
1.5409 4.3162 1.2513
-1.5409 4.3162 1.2513
2.9675 3.4925 3.7538
1.4266 0.8237 3.7538
4.5084 0.8237 3.7538
```

This record from Alexandria via LeMat-Bulk describes Th6Pt23 after structural relaxation. The functional is PBE.

Summary:
Size of the total moment = 0.73 μB per cell
Symmetry = Fm-3m
Formation energy from the elements = -0.837 eV/atom

POSCAR file:
```
Th6Pt23
1.0
1.2063 -9.1363 -0.7228
8.3692 -3.4188 -1.9280
4.7364 -4.5648 6.4945
Th Pt
6 23
Cartesian
10.4467 -8.2412 3.3846
3.8652 -8.8787 0.4591
5.8177 -6.3503 4.4510
8.4942 -10.7697 -0.6073
7.8270 -5.7164 -0.2075
6.4849 -11.4035 4.0512
7.1560 -8.5600 1.9218
0.6032 -4.5682 -0.3614
6.5528 -3.9918 2.2832
4.7878 -6.2776 -1.3254
2.3682 -2.2824 3.2473
2.9714 -6.8506 2.8858
4.1846 -1.7094 -0.9640
8.3114 -6.1940 2.7421
6.5916 -8.4212 -0.7741
4.8217 -8.9795 3.3293
8.8992 -10.6452 2.3900
7.7204 -8.6988 4.6178
6.0005 -10.9260 1.1015
9.4903 -8.1404 0.5144
5.4128 -6.4748 1.4537
11.5263 -11.2176 3.4452
10.3470 -12.7448 1.0341
9.1333 -13.1277 3.8479
11.9293 -14.2698 3.2038
3.9650 -4.3752 2.8096
2.7857 -5.9024 0.3984
5.1786 -3.9923 -0.0042
2.3827 -2.8501 0.6399
```

This record from Alexandria via LeMat-Bulk describes Th3Pt after structural relaxation. The functional is PBE.

Summary:
Size of the total moment = 0.00 μB per cell
Symmetry = P6_3/mmc
Formation energy from the elements = -0.234 eV/atom

POSCAR file:
```
Th3Pt
1.0
-2.5704 5.5942 3.3996
-2.7503 -1.9297 -6.1783
-3.3358 -3.0056 2.4237
Th Pt
6 2
Cartesian
-2.2704 -0.4426 -0.9882
-4.7502 1.2653 -2.2833
-3.5522 -1.3420 -3.8677
-6.3860 1.1016 0.6332
-3.9062 -0.6063 1.9282
-5.1042 2.0009 3.5127
-5.1921 -1.6759 -1.1679
-3.4643 2.3348 0.8129
```

This record from Alexandria via LeMat-Bulk describes Th4Pt after structural relaxation. The functional is PBE.

Summary:
Size of the total moment = 0.00 μB per cell
Symmetry = Pm-3m
Formation energy from the elements = -0.047 eV/atom

POSCAR file:
```
Th4Pt
1.0
-4.2800 3.6142 0.2268
-3.5694 -4.1511 -1.2085
-0.6111 -1.0670 5.4700
Th Pt
4 1
Cartesian
0.0000 0.0000 0.0000
-2.4456 1.2736 2.8484
-2.0903 -2.6090 2.1307
-3.9247 -0.2684 -0.4909
-4.2303 -0.8019 2.2441
```

This record from Alexandria via LeMat-Bulk describes Th2Pt17 after structural relaxation. The functional is PBE.

Summary:
Size of the total moment = 0.00 μB per cell
Symmetry = R-3m
Formation energy from the elements = -0.497 eV/atom

POSCAR file:
```
Th2Pt17
1.0
6.9926 -0.1065 -0.0940
0.8860 6.9371 -0.0940
0.8860 0.7681 6.8950
Th Pt
2 17
Cartesian
2.9302 2.5404 2.2423
5.8344 5.0583 4.4647
5.2913 4.5874 1.0046
2.3009 5.0157 4.4272
7.8008 6.7631 5.9695
0.9638 0.8356 0.7375
0.4430 0.3841 3.4475
0.4430 3.4685 -0.0470
3.4963 -0.0533 -0.0470
2.7922 4.7383 -0.0940
5.0863 0.1665 2.0877
0.8860 2.6938 4.7133
5.0863 2.0922 -0.0940
2.7922 0.4951 4.7133
0.8860 5.0113 2.0877
6.4637 2.5830 2.2799
3.4733 3.0113 5.7024
3.4733 6.0322 2.2799
5.2913 1.5665 4.4272
```

This record from Alexandria via LeMat-Bulk describes ThPt3 after structural relaxation. The functional is PBE.

Summary:
Size of the total moment = 0.00 μB per cell
Symmetry = I4/mmm
Formation energy from the elements = -0.519 eV/atom

POSCAR file:
```
ThPt3
1.0
4.0208 0.0000 0.0000
0.0000 4.0208 0.0000
-2.0104 -2.0104 5.3983
Pt Th
3 1
Cartesian
2.0104 2.0104 0.0000
0.0000 0.0000 2.7185
2.0104 2.0104 2.6798
0.0000 0.0000 0.0000
```

This record from Alexandria via LeMat-Bulk describes Th3Pt after structural relaxation. The functional is PBE.

Summary:
Size of the total moment = 0.00 μB per cell
Symmetry = Pmm2
Formation energy from the elements = -0.290 eV/atom

POSCAR file:
```
Th3Pt
1.0
-1.2096 3.3881 0.3369
-1.3189 -0.1405 -3.3228
-8.2447 -3.2827 3.4112
Pt Th
1 3
Cartesian
-8.1287 -3.2365 3.3632
-4.5118 -1.6041 -0.0675
-2.4403 1.1556 -1.0064
-6.6854 -0.7270 2.6842
```

> Look up the size of the total moment of the eighth one.

0.00 μB per cell

> size of the total moment of number 4 (Zr2TePt)?

0.00 μB per cell

> Number 1 is which compound?

Zr2TePt

> Which value of size of the total moment does entry 10 give?

0.00 μB per cell